[1]
Here is a relaxed KCuPb2 crystal from the Alexandria database. Energies are from PBE.

a b c (Å): 5.4718 5.4718 7.5744
angles (deg): 90.00 90.00 90.00
Space group I-4m2 (No. 119)
Symmetry-distinct sites (fractional):
1 K 0.0000 0.0000 0.0000 [2 per cell]
2 Cu 0.0000 0.5000 0.2500 [2 per cell]
3 Pb 0.0000 0.0000 0.5000 [2 per cell]
4 Pb 0.0000 0.5000 0.7500 [2 per cell]

## Properties
The formation energy from the elements is 1.0 eV/f.u.



[2]
Here is a relaxed CaTm3Bi4 crystal from the Alexandria database. Energies are from PBE.

a b c (Å): 7.7729 8.9673 7.7300
angles (deg): 90.00 109.47 90.00
Space group P2/c (No. 13)
Symmetry-distinct sites (fractional):
1 Ca 0.0000 0.1234 0.2500 [2 per cell]
2 Tm 0.0000 0.3738 0.7500 [2 per cell]
3 Tm 0.5000 0.1234 0.7500 [2 per cell]
4 Tm 0.5000 0.3744 0.2500 [2 per cell]
5 Bi 0.2526 0.3791 0.5040 [4 per cell]
6 Bi 0.2583 0.1301 0.9992 [4 per cell]

## Properties
The formation energy from the elements is -6.0 eV/f.u.



[3]
Here is a relaxed TbSm2DySe6 crystal from the Alexandria database. Energies are from PBE.

a b c (Å): 7.3056 7.3056 19.5827
angles (deg): 90.00 90.00 120.00
Space group R3 (No. 146, hexagonal axes)
Symmetry-distinct sites (fractional):
1 Tb 0.0000 0.0000 0.0000 [3 per cell]
2 Sm 0.0000 0.0000 0.3011 [3 per cell]
3 Sm 0.0000 0.0000 0.8013 [3 per cell]
4 Dy 0.0000 0.0000 0.4997 [3 per cell]
5 Se 0.0365 0.3596 0.0699 [9 per cell]
6 Se 0.0359 0.6779 0.5696 [9 per cell]

## Properties
The value obtained for the formation energy from raw total energies is -1.85 eV/atom.



[4]
Here is a relaxed PmPuSnSb crystal from the Alexandria database. Energies are from PBE.

a b c (Å): 7.6481 7.6481 7.6481
angles (deg): 90.00 90.00 90.00
Space group F-43m (No. 216)
Symmetry-distinct sites (fractional):
1 Pm 0.0000 0.0000 0.0000 [4 per cell]
2 Pu 0.0000 0.0000 0.5000 [4 per cell]
3 Sn 0.2500 0.2500 0.7500 [4 per cell]
4 Sb 0.2500 0.2500 0.2500 [4 per cell]

## Properties
The value obtained for the formation energy from raw total energies is -0.52 eV/atom.



[5]
Here is a relaxed Zr3AgN crystal from the Alexandria database. Energies are from PBE.

a b c (Å): 4.4936 4.4936 4.4936
angles (deg): 90.00 90.00 90.00
Space group Pm-3m (No. 221)
Symmetry-distinct sites (fractional):
1 Zr 0.0000 0.0000 0.5000 [3 per cell]
2 Ag 0.5000 0.5000 0.5000 [1 per cell]
3 N 0.0000 0.0000 0.0000 [1 per cell]

## Properties
The value obtained for the formation energy from raw total energies is -0.74 eV/atom.



[6]
Here is a relaxed NdSmScAg crystal from the Alexandria database. Energies are from PBE.

a b c (Å): 7.5975 7.5975 7.5975
angles (deg): 90.00 90.00 90.00
Space group F-43m (No. 216)
Symmetry-distinct sites (fractional):
1 Nd 0.0000 0.0000 0.0000 [4 per cell]
2 Sm 0.0000 0.0000 0.5000 [4 per cell]
3 Sc 0.2500 0.2500 0.2500 [4 per cell]
4 Ag 0.2500 0.2500 0.7500 [4 per cell]

## Properties
The formation energy from the elements is 0.2 eV/f.u. The value obtained for the distance to the lowest polymorph of the same formula is 13.0 kJ per mole of atoms.



[7]
Here is a relaxed ThScCuRe crystal from the Alexandria database. Energies are from PBE.

a b c (Å): 6.8506 6.8506 6.8506
angles (deg): 90.00 90.00 90.00
Space group F-43m (No. 216)
Symmetry-distinct sites (fractional):
1 Th 0.0000 0.0000 0.0000 [4 per cell]
2 Sc 0.0000 0.0000 0.5000 [4 per cell]
3 Cu 0.2500 0.2500 0.2500 [4 per cell]
4 Re 0.2500 0.2500 0.7500 [4 per cell]

## Properties
The formation energy from the elements is -0.3 eV/f.u.



[8]
Here is a relaxed CsSrHg2Pd crystal from the Alexandria database. Energies are from PBE.

a b c (Å): 5.6014 5.6014 5.5643
angles (deg): 90.00 90.00 90.00
Space group P4/mmm (No. 123)
Symmetry-distinct sites (fractional):
1 Cs 0.0000 0.0000 0.0000 [1 per cell]
2 Sr 0.5000 0.5000 0.0000 [1 per cell]
3 Hg 0.0000 0.5000 0.5000 [2 per cell]
4 Pd 0.5000 0.5000 0.5000 [1 per cell]

## Properties
The formation energy from the elements is -1.3 eV/f.u.



[9]
Here is a relaxed TcPO2 crystal from the Alexandria database. Energies are from PBE.

a b c (Å): 2.7576 2.7576 19.7394
angles (deg): 90.00 90.00 120.00
Space group R-3m (No. 166, hexagonal axes)
Symmetry-distinct sites (fractional):
1 Tc 0.0000 0.0000 0.0000 [3 per cell]
2 P 0.0000 0.0000 0.5000 [3 per cell]
3 O 0.0000 0.0000 0.4029 [6 per cell]

## Properties
The value obtained for the formation energy from raw total energies is -0.69 eV/atom.



[10]
Here is a relaxed LiAl2SbO6 crystal from the Alexandria database. Energies are from PBE.

a b c (Å): 5.0164 5.0164 13.5697
angles (deg): 90.00 90.00 120.00
Space group R3 (No. 146, hexagonal axes)
Symmetry-distinct sites (fractional):
1 Li 0.0000 0.0000 0.0000 [3 per cell]
2 Al 0.0000 0.0000 0.2835 [3 per cell]
3 Al 0.0000 0.0000 0.7827 [3 per cell]
4 Sb 0.0000 0.0000 0.4857 [3 per cell]
5 O 0.0113 0.3663 0.5467 [9 per cell]
6 O 0.0186 0.6259 0.0504 [9 per cell]

## Properties
The value obtained for the formation energy from raw total energies is -2.29 eV/atom.



[11]
Here is a relaxed CeMgAs2Pd5 crystal from the Alexandria database. Energies are from PBE.

a b c (Å): 4.3303 4.3303 8.9127
angles (deg): 90.00 90.00 90.00
Space group P4/mmm (No. 123)
Symmetry-distinct sites (fractional):
1 Ce 0.0000 0.0000 0.0000 [1 per cell]
2 Mg 0.0000 0.0000 0.5000 [1 per cell]
3 As 0.5000 0.5000 0.3628 [2 per cell]
4 Pd 0.0000 0.5000 0.2307 [4 per cell]
5 Pd 0.5000 0.5000 0.0000 [1 per cell]

## Properties
The formation energy from the elements is -4.9 eV/f.u.



[12]
Here is a relaxed TbMnGe2Ir crystal from the Alexandria database. Energies are from PBE.

a b c (Å): 4.0531 4.0531 10.7082
angles (deg): 90.00 90.00 90.00
Space group I-4m2 (No. 119)
Symmetry-distinct sites (fractional):
1 Tb 0.0000 0.0000 0.0000 [2 per cell]
2 Mn 0.0000 0.5000 0.2500 [2 per cell]
3 Ge 0.0000 0.0000 0.3835 [4 per cell]
4 Ir 0.0000 0.5000 0.7500 [2 per cell]

## Properties
The formation energy from the elements is -3.1 eV/f.u.



[13]
Here is a relaxed MoPtSe2 crystal from the Alexandria database. Energies are from PBE.

a b c (Å): 6.4395 6.4395 6.4395
angles (deg): 90.00 90.00 90.00
Space group Fm-3m (No. 225)
Symmetry-distinct sites (fractional):
1 Mo 0.0000 0.0000 0.0000 [4 per cell]
2 Pt 0.0000 0.0000 0.5000 [4 per cell]
3 Se 0.2500 0.2500 0.2500 [8 per cell]

## Properties
The value obtained for the formation energy from raw total energies is 0.29 eV/atom. The value obtained for the distance to the lowest polymorph of the same formula is 40.8 kJ per mole of atoms.



[14]
Here is a relaxed DyPuAgOs crystal from the Alexandria database. Energies are from PBE.

a b c (Å): 7.0055 7.0055 7.0055
angles (deg): 90.00 90.00 90.00
Space group F-43m (No. 216)
Symmetry-distinct sites (fractional):
1 Dy 0.0000 0.0000 0.0000 [4 per cell]
2 Pu 0.0000 0.0000 0.5000 [4 per cell]
3 Ag 0.2500 0.2500 0.7500 [4 per cell]
4 Os 0.2500 0.2500 0.2500 [4 per cell]

## Properties
The formation energy from the elements is -0.2 eV/f.u.



[15]
Here is a relaxed LaTb2HoBi4 crystal from the Alexandria database. Energies are from PBE.

a b c (Å): 7.8600 4.5474 7.8652
angles (deg): 90.00 109.48 90.00
Space group P2/m (No. 10)
Symmetry-distinct sites (fractional):
1 La 0.0000 0.0000 0.0000 [1 per cell]
2 Tb 0.0000 0.5000 0.5000 [1 per cell]
3 Tb 0.5000 0.0000 0.5000 [1 per cell]
4 Ho 0.5000 0.5000 0.0000 [1 per cell]
5 Bi 0.2553 0.0000 0.7475 [2 per cell]
6 Bi 0.2587 0.5000 0.2571 [2 per cell]

## Properties
The formation energy from the elements is -7.2 eV/f.u.



[16]
Here is a relaxed MnCo2Rh crystal from the Alexandria database. Energies are from PBE.

a b c (Å): 5.8903 5.8903 5.8903
angles (deg): 90.00 90.00 90.00
Space group F-43m (No. 216)
Symmetry-distinct sites (fractional):
1 Mn 0.0000 0.0000 0.0000 [4 per cell]
2 Co 0.0000 0.0000 0.5000 [4 per cell]
3 Co 0.2500 0.2500 0.7500 [4 per cell]
4 Rh 0.2500 0.2500 0.2500 [4 per cell]

## Properties
The formation energy from the elements is 0.4 eV/f.u.



[17]
Here is a relaxed Ba3CdHg6Pb2 crystal from the Alexandria database. Energies are from PBE.

a b c (Å): 6.5975 6.5975 10.3383
angles (deg): 90.00 90.00 120.00
Space group P-3m1 (No. 164)
Symmetry-distinct sites (fractional):
1 Ba 0.0000 0.0000 0.0000 [1 per cell]
2 Ba 0.3333 0.6667 0.6093 [2 per cell]
3 Cd 0.0000 0.0000 0.5000 [1 per cell]
4 Hg 0.1751 0.3503 0.2709 [6 per cell]
5 Pb 0.3333 0.6667 0.9884 [2 per cell]

## Properties
The formation energy from the elements is -3.6 eV/f.u.



[18]
Here is a relaxed CsLiCaH crystal from the Alexandria database. Energies are from PBE.

a b c (Å): 3.8822 3.9117 19.4630
angles (deg): 90.00 90.00 90.00
Space group Amm2 (No. 38)
Symmetry-distinct sites (fractional):
1 Cs 0.0000 0.0000 0.0000 [2 per cell]
2 Li 0.5000 0.0000 0.3522 [2 per cell]
3 Ca 0.0000 0.0000 0.7288 [2 per cell]
4 H 0.5000 0.0000 0.4447 [2 per cell]

## Properties
The value obtained for the distance to the lowest polymorph of the same formula is 4.7 kJ per mole of atoms.



[19]
Here is a relaxed RbPtOF2 crystal from the Alexandria database. Energies are from PBE.

a b c (Å): 4.8702 4.8702 4.4421
angles (deg): 90.00 90.00 90.00
Space group P4/mmm (No. 123)
Symmetry-distinct sites (fractional):
1 Rb 0.0000 0.0000 0.0000 [1 per cell]
2 Pt 0.5000 0.5000 0.5000 [1 per cell]
3 O 0.0000 0.0000 0.5000 [1 per cell]
4 F 0.0000 0.5000 0.0000 [2 per cell]

## Properties
The value obtained for the formation energy from raw total energies is 0.47 eV/atom. The value obtained for the distance to the lowest polymorph of the same formula is 176.7 kJ per mole of atoms.



[20]
Here is a relaxed MgTa2Au crystal from the Alexandria database. Energies are from PBE.

a b c (Å): 2.9289 2.9289 29.7827
angles (deg): 90.00 90.00 120.00
Space group R3m (No. 160, hexagonal axes)
Symmetry-distinct sites (fractional):
1 Mg 0.0000 0.0000 0.0000 [3 per cell]
2 Ta 0.0000 0.0000 0.2453 [3 per cell]
3 Ta 0.0000 0.0000 0.4926 [3 per cell]
4 Au 0.0000 0.0000 0.7449 [3 per cell]

## Properties
The formation energy from the elements is 0.4 eV/f.u.



| no. | calculated total energy (eV/atom) |
| --- | --- |
| 1 | -2.901 |
| 2 | -4.622 |
| 3 | -5.807 |
| 4 | -7.325 |
| 5 | -8.100 |
| 6 | -4.628 |
| 7 | -7.658 |
| 8 | -1.930 |
| 9 | -7.115 |
| 10 | -6.622 |
| 11 | -5.301 |
| 12 | -7.007 |
| 13 | -5.674 |
| 14 | -8.303 |
| 15 | -5.190 |
| 16 | -7.591 |
| 17 | -1.622 |
| 18 | -1.978 |
| 19 | -2.676 |
| 20 | -7.038 |